i.
Below is a relaxed structure of BeCr2Te, with properties calculated at the PBE level. Values from VASP.

Values from the calculation:
Space-group type = F-43m
Density = 7009 kg/m³

```
&SYSTEM
  ibrav = 0, nat = 4, ntyp = 3
/
ATOMIC_SPECIES
Cr 52.00 Cr.upf
Be 9.01 Be.upf
Te 127.60 Te.upf
ATOMIC_POSITIONS crystal
Cr 0.750 0.750 0.750
Be 0.500 0.500 0.500
Cr 0.000 0.000 0.000
Te 0.250 0.250 0.250
CELL_PARAMETERS angstrom
-2.167 -3.604 0.987
1.956 -3.163 2.198
-1.118 -0.795 4.096
```

ii.
Below is a relaxed structure of BeCr2Te, with properties calculated at the PBE level. Values from VASP.

Values from the calculation:
Space-group type = P4/mmm
Density = 7058 kg/m³

```
&SYSTEM
  ibrav = 0, nat = 4, ntyp = 3
/
ATOMIC_SPECIES
Cr 52.00 Cr.upf
Be 9.01 Be.upf
Te 127.60 Te.upf
ATOMIC_POSITIONS crystal
Cr 0.000 0.000 0.000
Be 0.000 0.500 0.500
Cr 0.500 0.500 0.000
Te 0.500 0.000 0.500
CELL_PARAMETERS angstrom
3.904 0.000 0.000
0.000 3.907 0.000
0.000 0.000 3.711
```

Computed relative energies in units of meV/atom: i 41; ii 0

i.
Below is a relaxed structure of Be2P, with properties calculated at the PBE level. Values from VASP.

Values from the calculation:
Space-group type = C2/m
Density = 2370 kg/m³

```
&SYSTEM
  ibrav = 0, nat = 6, ntyp = 2
/
ATOMIC_SPECIES
Be 9.01 Be.upf
P 30.97 P.upf
ATOMIC_POSITIONS crystal
Be 0.553 0.553 0.629
Be 0.859 0.859 0.742
P 0.164 0.164 0.836
P 0.836 0.836 0.164
Be 0.141 0.141 0.258
Be 0.447 0.447 0.371
CELL_PARAMETERS angstrom
0.118 -5.073 -2.314
1.051 -5.477 -0.076
-4.578 -2.200 1.511
```

ii.
Below is a relaxed structure of Be2P, with properties calculated at the PBE level. Values from VASP.

Values from the calculation:
Space-group type = P4/mmm
Density = 2360 kg/m³

```
&SYSTEM
  ibrav = 0, nat = 6, ntyp = 2
/
ATOMIC_SPECIES
Be 9.01 Be.upf
P 30.97 P.upf
ATOMIC_POSITIONS crystal
Be 0.750 0.250 0.999
Be 0.750 0.750 0.500
P 0.250 0.250 0.000
Be 0.250 0.250 0.500
Be 0.250 0.750 0.001
P 0.750 0.750 0.000
CELL_PARAMETERS angstrom
4.249 -0.416 -1.631
0.869 -2.740 3.552
-3.501 -1.038 -2.748
```

Computed relative energies in units of meV/atom: i 17; ii 0